Record 1
Here is a geometry-optimized KBa2Se2 structure from Alexandria via LeMat-Bulk. Energies are from PBE.

a b c (Å): 8.9577 8.9577 4.4565
angles (deg): 90.00 90.00 90.00
Closest atoms and distances in Å follow each position.
Space group P4/mbm (No. 127)
Asymmetric unit:
K1 0.0000 0.0000 0.0000  4 Se 3.39
Ba1 0.1515 0.3485 0.5000  6 Se 3.32-3.53
Se1 0.1538 0.6538 0.0000  6 Ba 3.32-3.53, 2 K 3.39

Results
* calculated volume: 35.8 Å³/atom
* formation energy from raw total energies: -1.463 eV/atom
* raw total energy: -19.2 eV/f.u.
* offset from the most stable computed form: 0 meV/atom

=====

Record 2
Here is a geometry-optimized K2BaSe structure from Alexandria via LeMat-Bulk. Energies are from PBE.

a b c (Å): 4.3317 4.8612 20.3248
angles (deg): 90.00 90.00 90.00
Closest atoms and distances in Å follow each position.
Space group Immm (No. 71)
Asymmetric unit:
K1 0.0000 0.0000 0.1684  2 Se 4.05, 2 Ba 4.20, 2 K 4.33
Ba1 0.0000 0.5000 0.0000  4 Se 3.26
Se1 0.0000 0.5000 0.5000  4 Ba 3.26

Results
* calculated volume: 53.5 Å³/atom
* formation energy from raw total energies: -0.820 eV/atom
* raw total energy: -10.9 eV/f.u.

=====

Record 3
Here is a geometry-optimized K2BaSe structure from Alexandria via LeMat-Bulk. Energies are from PBE.

a b c (Å): 5.0231 5.0231 6.8304
angles (deg): 90.00 90.00 90.00
Closest atoms and distances in Å follow each position.
Space group P4/mmm (No. 123)
Asymmetric unit:
K1 0.0000 0.5000 0.0000  4 K 3.55
Ba1 0.0000 0.0000 0.5000  4 Se 3.55
Se1 0.5000 0.5000 0.5000  4 Ba 3.55

Results
* calculated volume: 43.1 Å³/atom
* formation energy from raw total energies: -0.616 eV/atom
* raw total energy: -10.1 eV/f.u.

=====

Record 4
Here is a geometry-optimized K2Ba2Se structure from Alexandria via LeMat-Bulk. Energies are from PBE.

a b c (Å): 8.7626 8.7626 8.0568
angles (deg): 90.00 90.00 90.00
Closest atoms and distances in Å follow each position.
Space group P4/mbm (No. 127)
Asymmetric unit:
K1 0.1637 0.3363 0.0000  1 K 4.06, 2 Ba 4.44
Ba1 0.1860 0.6860 0.5000  2 Se 3.20
Se1 0.0000 0.0000 0.5000  4 Ba 3.20

Results
* calculated volume: 61.9 Å³/atom
* formation energy from raw total energies: -0.558 eV/atom
* raw total energy: -12.3 eV/f.u.
* offset from the most stable computed form: 0 meV/atom

=====

Record 5
Here is a geometry-optimized K2BaSe structure from Alexandria via LeMat-Bulk. Energies are from PBE.

a b c (Å): 8.2362 4.7520 12.1217
angles (deg): 90.00 102.61 90.00
Closest atoms and distances in Å follow each position.
Space group Cm (No. 8)
Asymmetric unit:
K1 0.0000 0.0000 0.0000  9 K 4.75-5.00, 3 Ba 4.91-4.93
K2 0.2120 0.0000 0.6488  3 Se 3.38
Ba1 0.2813 0.5000 0.3455  3 Se 3.18
Se1 0.4919 0.0000 0.4819  3 Ba 3.18, 3 K 3.38

Results
* calculated volume: 57.9 Å³/atom
* formation energy from raw total energies: -0.874 eV/atom
* raw total energy: -11.1 eV/f.u.

=====

Record 6
Here is a geometry-optimized K3BaSe structure from Alexandria via LeMat-Bulk. Energies are from PBE.

a b c (Å): 6.5129 6.5129 6.5129
angles (deg): 90.00 90.00 90.00
Closest atoms and distances in Å follow each position.
Space group Pm-3m (No. 221)
Asymmetric unit:
K1 0.0000 0.0000 0.5000  2 Se 3.26
Ba1 0.5000 0.5000 0.5000  12 K 4.61
Se1 0.0000 0.0000 0.0000  6 K 3.26

Results
* calculated volume: 55.3 Å³/atom
* formation energy from raw total energies: -0.394 eV/atom
* raw total energy: -10.7 eV/f.u.
* offset from the most stable computed form: 0 meV/atom

=====

Record 7
Here is a geometry-optimized KBa5Se6 structure from Alexandria via LeMat-Bulk. Energies are from PBE.

a b c (Å): 8.2018 14.2003 8.1882
angles (deg): 90.00 109.48 90.00
Closest atoms and distances in Å follow each position.
Space group C2/m (No. 12)
Asymmetric unit:
K1 0.0000 0.0000 0.0000  6 Se 3.42-3.43
Ba1 0.0000 0.1635 0.5000  6 Se 3.29-3.36
Ba2 0.0000 0.3327 0.0000  6 Se 3.33-3.34
Ba3 0.0000 0.5000 0.5000  6 Se 3.27-3.35
Se1 0.2421 0.5000 0.2529  5 Ba 3.27-3.34, 1 K 3.42
Se2 0.2433 0.3286 0.7448  5 Ba 3.29-3.36, 1 K 3.43

Results
* calculated volume: 37.5 Å³/atom
* formation energy from raw total energies: -1.797 eV/atom
* raw total energy: -53.2 eV/f.u.

=====

Record 8
Here is a geometry-optimized KBa3Se structure from Alexandria via LeMat-Bulk. Energies are from PBE.

a b c (Å): 6.5891 6.5891 6.5891
angles (deg): 90.00 90.00 90.00
Closest atoms and distances in Å follow each position.
Space group Pm-3m (No. 221)
Asymmetric unit:
K1 0.0000 0.0000 0.0000  12 Ba 4.66
Ba1 0.0000 0.5000 0.5000  2 Se 3.29
Se1 0.5000 0.5000 0.5000  6 Ba 3.29

Results
* calculated volume: 57.2 Å³/atom
* formation energy from raw total energies: -0.677 eV/atom
* raw total energy: -13.7 eV/f.u.
* offset from the most stable computed form: 0 meV/atom

=====

Record 9
Here is a geometry-optimized K2BaSe2 structure from Alexandria via LeMat-Bulk. Energies are from PBE.

a b c (Å): 8.8663 8.8663 4.6215
angles (deg): 90.00 90.00 90.00
Closest atoms and distances in Å follow each position.
Space group P4/mbm (No. 127)
Asymmetric unit:
K1 0.1257 0.3743 0.0000  1 K 3.15, 2 Se 3.35
Ba1 0.0000 0.0000 0.5000  4 Se 3.25
Se1 0.1812 0.6812 0.5000  2 Ba 3.25, 6 K 3.35-3.60

Results
* calculated volume: 36.3 Å³/atom
* formation energy from raw total energies: -1.217 eV/atom
* raw total energy: -17.2 eV/f.u.
* offset from the most stable computed form: 0 meV/atom

=====

Record 10
Here is a geometry-optimized KBa2Se2 structure from Alexandria via LeMat-Bulk. Energies are from PBE.

a b c (Å): 9.3359 9.3359 4.0709
angles (deg): 90.00 90.00 90.00
Closest atoms and distances in Å follow each position.
Space group P4/mbm (No. 127)
Asymmetric unit:
K1 0.0000 0.0000 0.0000  4 Ba 3.60
Ba1 0.1404 0.3596 0.0000  6 Se 3.34-3.46, 2 K 3.60, 1 Ba 3.71
Se1 0.1590 0.6590 0.5000  6 Ba 3.34-3.46

Results
* calculated volume: 35.5 Å³/atom
* formation energy from raw total energies: -1.273 eV/atom
* raw total energy: -18.3 eV/f.u.
* offset from the most stable computed form: 191 meV/atom

=====

Record 11
Here is a geometry-optimized K2BaSe2 structure from Alexandria via LeMat-Bulk. Energies are from PBE.

a b c (Å): 4.5869 4.5869 16.2399
angles (deg): 90.00 90.00 90.00
Closest atoms and distances in Å follow each position.
Space group I4/mmm (No. 139)
Asymmetric unit:
K1 0.0000 0.5000 0.2500  4 Se 3.20, 4 K 3.24
Ba1 0.0000 0.0000 0.0000  8 Se 3.72
Se1 0.0000 0.0000 0.3875  4 K 3.20

Results
* calculated volume: 34.2 Å³/atom
* formation energy from raw total energies: -1.183 eV/atom
* raw total energy: -17.0 eV/f.u.
* offset from the most stable computed form: 34 meV/atom

=====

Record 12
Here is a geometry-optimized KBa2SiSe4 structure from Alexandria via LeMat-Bulk. Energies are from PBE.

a b c (Å): 8.8098 9.0559 12.7095
angles (deg): 90.00 90.00 90.00
Closest atoms and distances in Å follow each position.
Space group Imma (No. 74)
Asymmetric unit:
K1 0.2500 0.2500 0.2500  6 Se 3.17-3.22
Ba1 0.0000 0.0000 0.0000  4 Se 3.32
Ba2 0.2500 0.2500 0.7500  6 Se 3.20-3.22
Si1 0.0000 0.0000 0.5000  2 Se 2.55
Se1 0.0000 0.0002 0.2994  1 Si 2.55
Se2 0.2237 0.2500 0.4990  2 Si 3.00, 1 K 3.17, 3 Ba 3.20-3.32

Results
* calculated volume: 31.7 Å³/atom
* formation energy from raw total energies: -1.043 eV/atom
* raw total energy: -32.7 eV/f.u.

=====

Record 13
Here is a geometry-optimized K2BaSn2Se4 structure from Alexandria via LeMat-Bulk. Energies are from PBE.

a b c (Å): 18.5388 4.3240 8.6425
angles (deg): 90.00 116.81 90.00
Closest atoms and distances in Å follow each position.
Space group C2/m (No. 12)
Asymmetric unit:
K1 0.1181 0.0000 0.0528  3 Se 3.38-3.49, 1 Sn 3.58
Ba1 0.0000 0.0000 0.5000  6 Se 3.24-3.30
Sn1 0.1973 0.5000 0.5531  3 Se 2.68-2.83
Se1 0.0515 0.5000 0.2783  1 Sn 2.68
Se2 0.1917 0.0000 0.7588  2 Sn 2.83

Results
* calculated volume: 34.4 Å³/atom
* formation energy from raw total energies: -1.050 eV/atom
* raw total energy: -35.5 eV/f.u.